MnPOs | PBE | relaxed

Properties
As for the formation energy from the elements: 0.27 eV/atom.

Cell lengths 6.0747, 5.8027, 2.8222 Å; angles 81.69, 70.94, 27.37 degrees
Closest atoms and distances in Å follow each position.
Positions (direct):
Mn (0.9843, 0.9843, 0.0157)  2 P 2.26
Os (0.6799, 0.6799, 0.3201)  2 P 2.33
P (0.3359, 0.3359, 0.6641)  2 Mn 2.26, 2 Os 2.33



Rb3Tb3RuO8 | PBE | relaxed

Properties
The uncorrected formation energy is -2.3177 eV/atom.

Cell lengths 6.8346, 6.8354, 7.6800 Å; angles 116.43, 90.00, 120.00 degrees
Closest atoms and distances in Å follow each position.
Positions (direct):
O (0.7923, 0.5846, 0.3354)  1 Ru 2.11, 2 Tb 2.33
O (0.2077, 0.4154, 0.6646)  1 Ru 2.11, 2 Tb 2.33
O (0.7925, 0.0430, 0.3355)  1 Ru 2.11, 2 Tb 2.33
O (0.7495, 0.9570, 0.6645)  1 Ru 2.11, 2 Tb 2.33
O (0.2505, 0.0430, 0.3355)  1 Ru 2.11, 2 Tb 2.33
O (0.7246, 0.4492, 0.6738)  3 Tb 2.28
O (0.2075, 0.9570, 0.6645)  1 Ru 2.11, 2 Tb 2.33
O (0.2754, 0.5508, 0.3262)  3 Tb 2.28
Rb (0.5000, 0.5000, 0.0000)  6 O 2.91-2.92
Rb (0.0000, 0.0000, 0.0000)  6 O 2.91-2.92
Rb (0.0000, 0.5000, 0.0000)  6 O 2.91-2.92
Tb (0.0000, 0.5000, 0.5000)  6 O 2.28-2.33
Tb (0.5000, 0.0000, 0.5000)  6 O 2.28-2.33
Tb (0.5000, 0.5000, 0.5000)  6 O 2.28-2.33
Ru (0.0000, 0.0000, 0.5000)  6 O 2.11



Er2MgZr3N6 | PBE | relaxed

Properties
The uncorrected formation energy is -1.6136 eV/atom.

Cell lengths 3.2923, 6.6145, 7.3912 Å; angles 103.51, 102.87, 90.00 degrees
Closest atoms and distances in Å follow each position.
Positions (direct):
N (0.6670, 0.0734, 0.3341)  3 Zr 2.28-2.37, 1 Mg 2.34, 2 Er 2.36
N (0.6631, 0.5901, 0.3263)  3 Zr 2.28-2.30, 3 Er 2.39-2.42
N (0.3369, 0.4099, 0.6737)  3 Zr 2.28-2.30, 3 Er 2.39-2.42
N (0.9966, 0.2532, 0.9933)  3 Zr 2.24-2.31, 1 Er 2.35, 2 Mg 2.36
N (0.0034, 0.7468, 0.0067)  3 Zr 2.24-2.31, 1 Er 2.35, 2 Mg 2.36
N (0.3330, 0.9266, 0.6659)  3 Zr 2.28-2.37, 1 Mg 2.34, 2 Er 2.36
Mg (0.5000, 0.0000, 0.0000)  6 N 2.34-2.36
Zr (0.1635, 0.8338, 0.3270)  6 N 2.24-2.37
Zr (0.5000, 0.5000, 0.0000)  6 N 2.28-2.31
Zr (0.8365, 0.1662, 0.6730)  6 N 2.24-2.37
Er (0.1642, 0.3278, 0.3283)  6 N 2.35-2.42
Er (0.8358, 0.6722, 0.6717)  6 N 2.35-2.42



ErHS2O8 | PBE | relaxed

Properties
The total energy comes out at -6.5176 eV/atom.

Cell lengths 10.9005, 5.5454, 10.7734 Å; angles 73.84, 90.00, 90.00 degrees
Closest atoms and distances in Å follow each position.
Positions (direct):
O (0.6629, 0.8420, 0.2479)  1 S 1.48
O (0.2890, 0.5412, 0.9039)  1 S 1.48
O (0.5742, 0.7773, 0.4624)  1 S 1.47
O (0.0452, 0.7687, 0.4735)  1 H 1.01
O (0.7388, 0.0995, 0.5180)  1 S 1.47
O (0.3371, 0.1580, 0.7521)  1 S 1.48
O (0.4258, 0.2227, 0.5376)  1 S 1.47
O (0.2388, 0.9005, 0.9820)  1 S 1.47
O (0.8193, 0.4768, 0.3697)  1 S 1.45
O (0.0155, 0.5771, 0.8104)  1 S 1.47
O (0.0742, 0.2227, 0.0376)  1 S 1.47
O (0.4548, 0.7687, 0.9735)  1 H 1.01
O (0.8371, 0.8420, 0.7479)  1 S 1.48
O (0.9548, 0.2313, 0.5265)  1 H 1.01
O (0.4845, 0.5771, 0.3104)  1 S 1.47
O (0.1807, 0.5232, 0.6303)  1 S 1.45
O (0.3193, 0.5232, 0.1303)  1 S 1.45
O (0.9845, 0.4229, 0.1896)  1 S 1.47
O (0.7612, 0.0995, 0.0180)  1 S 1.47
O (0.1629, 0.1580, 0.2521)  1 S 1.48
O (0.5155, 0.4229, 0.6896)  1 S 1.47
O (0.5299, 0.9694, 0.7288)  1 S 1.52, 1 H 1.68
O (0.4701, 0.0306, 0.2712)  1 S 1.52, 1 H 1.68
O (0.7110, 0.4588, 0.0961)  1 S 1.48
O (0.5452, 0.2313, 0.0265)  1 H 1.01
O (0.7890, 0.4588, 0.5961)  1 S 1.48
O (0.6807, 0.4768, 0.8697)  1 S 1.45
O (0.2612, 0.9005, 0.4820)  1 S 1.47
O (0.2110, 0.5412, 0.4039)  1 S 1.48
O (0.0299, 0.0306, 0.7712)  1 S 1.52, 1 H 1.68
O (0.9258, 0.7773, 0.9624)  1 S 1.47
O (0.9701, 0.9694, 0.2288)  1 S 1.52, 1 H 1.68
S (0.9505, 0.7990, 0.8257)  4 O 1.47-1.52
S (0.8190, 0.3181, 0.5022)  4 O 1.45-1.56
S (0.0495, 0.2010, 0.1743)  4 O 1.47-1.52
S (0.5495, 0.7990, 0.3257)  4 O 1.47-1.52
S (0.6810, 0.3181, 0.0022)  4 O 1.45-1.56
S (0.3190, 0.6819, 0.9978)  4 O 1.45-1.56
S (0.4505, 0.2010, 0.6743)  4 O 1.47-1.52
S (0.1810, 0.6819, 0.4978)  4 O 1.45-1.56
H (0.4753, 0.8462, 0.8792)  1 O 1.01
H (0.9753, 0.1538, 0.6208)  1 O 1.01
H (0.0247, 0.8462, 0.3792)  1 O 1.01
H (0.5247, 0.1538, 0.1208)  1 O 1.01
Er (0.3346, 0.2762, 0.3417)  7 O 2.23-2.35
Er (0.8346, 0.7238, 0.1583)  7 O 2.23-2.35
Er (0.1654, 0.2762, 0.8417)  7 O 2.23-2.35
Er (0.6654, 0.7238, 0.6583)  7 O 2.23-2.35



MnCrP | PBE | relaxed

Properties
As for the formation energy from the elements: -0.01 eV/atom.

Cell lengths 2.6416, 2.6416, 5.6227 Å; angles 90.00, 90.00, 120.00 degrees
Closest atoms and distances in Å follow each position.
Positions (direct):
Mn (0.6667, 0.3333, 0.3405)  3 P 2.36, 3 Cr 2.45, 6 Mn 2.64
P (0.3333, 0.6667, 0.6610)  3 Mn 2.36, 3 Cr 2.43, 6 P 2.64
Cr (0.0000, 0.0000, 0.9985)  3 P 2.43, 3 Mn 2.45, 6 Cr 2.64



ZnRuW2 | PBE | relaxed

Properties
As for the formation energy from the elements: 0.20 eV/atom.

Cell lengths 2.8104, 3.8653, 5.5632 Å; angles 90.00, 90.00, 90.00 degrees
Closest atoms and distances in Å follow each position.
Positions (direct):
Ru (0.5000, 0.5000, 0.7372)  6 W 2.64-2.93, 4 Zn 2.71, 2 Ru 2.81
W (0.0000, 0.0000, 0.9929)  2 Zn 2.71-2.86, 4 Ru 2.78, 6 W 2.81-2.82
W (0.5000, 0.5000, 0.2635)  2 Ru 2.64-2.93, 4 Zn 2.74, 6 W 2.81-2.82
Zn (0.0000, 0.0000, 0.5064)  6 W 2.71-2.86, 4 Ru 2.71, 2 Zn 2.81



no.,density of states at the Fermi level (states/eV/cell)
1,1.85
2,6.29
3,2.93
4,0.00
5,2.50
6,2.69